DFT (GGA-PBE) results for Pr4NiI5 after structural relaxation.

Cell lengths 19.831, 4.204, 9.181 Å; angles 90.00, 102.90, 90.00 degrees
Space group C2/m (No. 12)
Inequivalent atoms, fractional coordinates:
Pr 0.000 0.000 0.205 (multiplicity 4)
Pr 0.146 0.500 0.076 (multiplicity 4)
Ni 0.000 0.500 0.000 (multiplicity 2)
I 0.000 0.500 0.500 (multiplicity 2)
I 0.167 0.000 0.348 (multiplicity 4)
I 0.175 0.000 0.824 (multiplicity 4)

DFT (GGA-PBE) results for Pr4NiI5 after structural relaxation.

Cell lengths 4.201, 19.233, 9.179 Å; angles 90.00, 90.00, 90.00 degrees
Space group Pmmn (No. 59, origin choice 2)
Inequivalent atoms, fractional coordinates:
Pr 0.250 0.103 0.130 (multiplicity 4)
Pr 0.250 0.750 0.078 (multiplicity 2)
Pr 0.250 0.750 0.666 (multiplicity 2)
Ni 0.250 0.250 0.126 (multiplicity 2)
I 0.250 0.250 0.629 (multiplicity 2)
I 0.250 0.576 0.139 (multiplicity 4)
I 0.250 0.581 0.607 (multiplicity 4)

DFT (GGA-PBE) results for NiPtI6 after structural relaxation.

Cell lengths 6.9747, 6.9747, 18.3242 Å; angles 90.00, 90.00, 120.00 degrees
Space group R-3 (No. 148, hexagonal axes)
Inequivalent atoms, fractional coordinates:
Ni 0.0000 0.0000 0.0000 (multiplicity 3)
Pt 0.0000 0.0000 0.5000 (multiplicity 3)
I 0.0002 0.3515 0.2515 (multiplicity 18)

DFT (GGA-PBE) results for Re3NiI after structural relaxation.

Cell lengths 4.760, 4.760, 4.760 Å; angles 90.00, 90.00, 90.00 degrees
Space group Pm-3m (No. 221)
Inequivalent atoms, fractional coordinates:
Re 0.000 0.000 0.500 (multiplicity 3)
Ni 0.500 0.500 0.500 (multiplicity 1)
I 0.000 0.000 0.000 (multiplicity 1)

DFT (GGA-PBE) results for NiSe2I after structural relaxation.

Cell lengths 3.582, 6.289, 10.263 Å; angles 93.77, 99.10, 106.54 degrees
Space group P-1 (No. 2)
Inequivalent atoms, fractional coordinates:
Ni 0.103 0.313 0.383 (multiplicity 2)
Se 0.261 0.420 0.612 (multiplicity 2)
Se 0.468 0.039 0.386 (multiplicity 2)
I 0.047 0.756 0.873 (multiplicity 2)

DFT (GGA-PBE) results for Sm2SiNiI2 after structural relaxation.

Cell lengths 4.1615, 4.1615, 12.0576 Å; angles 90.00, 90.00, 120.00 degrees
Space group P3m1 (No. 156)
Inequivalent atoms, fractional coordinates:
Sm 0.0000 0.0000 0.0000 (multiplicity 1)
Sm 0.0000 0.0000 0.3069 (multiplicity 1)
Si 0.6667 0.3333 0.1503 (multiplicity 1)
Ni 0.3333 0.6667 0.1593 (multiplicity 1)
I 0.3333 0.6667 0.8252 (multiplicity 1)
I 0.6667 0.3333 0.4848 (multiplicity 1)

DFT (GGA-PBE) results for Tb2SiNiI2 after structural relaxation.

Cell lengths 4.0969, 4.0969, 12.1402 Å; angles 90.00, 90.00, 120.00 degrees
Space group P3m1 (No. 156)
Inequivalent atoms, fractional coordinates:
Tb 0.0000 0.0000 0.0000 (multiplicity 1)
Tb 0.0000 0.0000 0.2993 (multiplicity 1)
Si 0.3333 0.6667 0.1458 (multiplicity 1)
Ni 0.6667 0.3333 0.1554 (multiplicity 1)
I 0.3333 0.6667 0.4745 (multiplicity 1)
I 0.6667 0.3333 0.8274 (multiplicity 1)

DFT (GGA-PBE) results for Y2SiNiI2 after structural relaxation.

Cell lengths 4.0909, 4.0909, 11.9625 Å; angles 90.00, 90.00, 120.00 degrees
Space group P3m1 (No. 156)
Inequivalent atoms, fractional coordinates:
Y 0.0000 0.0000 0.0000 (multiplicity 1)
Y 0.0000 0.0000 0.3049 (multiplicity 1)
Si 0.6667 0.3333 0.1482 (multiplicity 1)
Ni 0.3333 0.6667 0.1599 (multiplicity 1)
I 0.3333 0.6667 0.8266 (multiplicity 1)
I 0.6667 0.3333 0.4812 (multiplicity 1)

Number 1: uncorrected energy -86.55 eV/cell. Number 2: uncorrected energy -86.54 eV/cell. Number 3: uncorrected energy -62.94 eV/cell. Number 4: uncorrected energy -28.64 eV/cell. Number 5: uncorrected energy -29.62 eV/cell. Number 6: uncorrected energy -30.25 eV/cell. Number 7: uncorrected energy -30.14 eV/cell. Number 8: uncorrected energy -33.86 eV/cell.